Crystalline Ta2MnMoRh at its relaxed geometry, computed with PBE-GGA.

Results
Density in g/cm³: 10.25
E_form in eV/atom: 1.470
Calculated volume in Å³/cell: 99.8
Space group: P4/mmm, No. 123
DFT total energy in eV per atom: -8.74

Lattice parameters (Å, degrees): 4.7760 4.7760 4.3747 90.00 90.00 90.00
Each line ends with the local moment (μB).
Fractional positions:
Mo 0.0000 0.0000 0.0000  -0.21
Rh 0.5000 0.5000 0.5000  0.01
Ta 0.0000 0.5000 0.0000  -0.16
Ta 0.5000 0.0000 0.0000  -0.16
Mn 0.0000 0.0000 0.5000  2.19